Density functional theory data (PBE) for La4MgGa3 after structural relaxation.

ΔE_f = -0.453 eV/atom
raw total energy = -34.007 eV per formula unit
calculated density = 5.91 g/cm³
total magnetic moment = 0.000 μB/f.u.

a b c (Å): 5.3723 7.6751 10.7473
angles (deg): 90.00 90.00 90.00
Last column: nearest neighbours and their distance in Å.
Fractional coordinates of all 16 atoms:
Mg  0.0000  0.5000  0.0000  8 La 3.34
Mg  0.0000  0.5000  0.5000  8 La 3.34
Ga  0.0000  0.0000  0.0000  8 La 3.26
Ga  0.0000  0.0000  0.5000  8 La 3.26
Ga  0.5029  0.0000  0.7500  8 La 3.26-3.27
Ga  0.4971  0.0000  0.2500  8 La 3.26-3.27
Ga  0.5025  0.5000  0.7500  8 La 3.34
Ga  0.4975  0.5000  0.2500  8 La 3.34
La  0.5000  0.7586  0.0000  6 Ga 3.26-3.34, 2 Mg 3.34
La  0.5000  0.7586  0.5000  6 Ga 3.26-3.34, 2 Mg 3.34
La  0.5000  0.2414  0.0000  6 Ga 3.26-3.34, 2 Mg 3.34
La  0.5000  0.2414  0.5000  6 Ga 3.26-3.34, 2 Mg 3.34
La  0.0020  0.7586  0.7500  6 Ga 3.26-3.34, 2 Mg 3.34
La  0.9980  0.7586  0.2500  6 Ga 3.26-3.34, 2 Mg 3.34
La  0.9980  0.2414  0.2500  6 Ga 3.26-3.34, 2 Mg 3.34
La  0.0020  0.2414  0.7500  6 Ga 3.26-3.34, 2 Mg 3.34

Density functional theory data (PBE) for TaBePt2 after structural relaxation.

ΔE_f = -0.390 eV/atom
raw total energy = -29.221 eV per formula unit
calculated density = 15.82 g/cm³
total magnetic moment = 0.000 μB/f.u.

a b c (Å): 4.6624 4.6624 2.8017
angles (deg): 90.00 90.00 90.00
Last column: nearest neighbours and their distance in Å.
Fractional coordinates of all 4 atoms:
Be  0.0000  0.5000  0.5000  8 Pt 2.72, 2 Be 2.80
Pt  0.0000  0.0000  0.0000  4 Ta 2.72, 4 Be 2.72, 2 Pt 2.80
Pt  0.5000  0.5000  0.0000  4 Be 2.72, 4 Ta 2.72, 2 Pt 2.80
Ta  0.5000  0.0000  0.5000  8 Pt 2.72, 2 Ta 2.80

Density functional theory data (PBE) for Ac4TlRh2Au after structural relaxation.

ΔE_f = -0.467 eV/atom
raw total energy = -40.515 eV per formula unit
calculated density = 9.40 g/cm³
total magnetic moment = 0.000 μB/f.u.

a b c (Å): 4.3484 7.3739 17.4625
angles (deg): 90.00 90.00 107.15
Last column: nearest neighbours and their distance in Å.
Fractional coordinates of all 16 atoms:
Ac  0.2748  0.5496  0.0888  3 Rh 2.95-3.03, 1 Au 2.96
Ac  0.7252  0.4504  0.5888  3 Rh 2.95-3.03, 1 Au 2.96
Ac  0.7252  0.4504  0.9112  3 Rh 2.95-3.03, 1 Au 2.96
Ac  0.2748  0.5496  0.4112  3 Rh 2.95-3.03, 1 Au 2.96
Ac  0.0000  0.0000  0.5000  4 Rh 3.03
Ac  0.0000  0.0000  0.0000  4 Rh 3.03
Ac  0.4432  0.8864  0.7500  2 Au 3.08
Ac  0.5568  0.1136  0.2500  2 Au 3.08
Tl  0.1363  0.2725  0.7500  2 Au 3.06
Tl  0.8637  0.7275  0.2500  2 Au 3.06
Rh  0.3710  0.7420  0.5613  5 Ac 2.95-3.03
Rh  0.6290  0.2580  0.0613  5 Ac 2.95-3.03
Rh  0.6290  0.2580  0.4387  5 Ac 2.95-3.03
Rh  0.3710  0.7420  0.9387  5 Ac 2.95-3.03
Au  0.7888  0.5776  0.7500  4 Ac 2.96-3.08, 2 Tl 3.06
Au  0.2112  0.4224  0.2500  4 Ac 2.96-3.08, 2 Tl 3.06

Density functional theory data (PBE) for AlPdSN2 after structural relaxation.

raw total energy = -23.355 eV per formula unit
energy relative to the elements, uncorrected = 1.27 eV per atom
calculated density = 4.08 g/cm³
total magnetic moment = 2.945 μB/f.u.
ΔE to the lowest computed polymorph = 49.8 kJ/mol of atoms

a b c (Å): 3.9218 3.9218 5.1223
angles (deg): 90.00 90.00 90.00
Last column: nearest neighbours and their distance in Å.
Fractional coordinates of all 5 atoms:
S  0.0000  0.0000  0.5000  2 Pd 2.56, 4 Al 2.77
Al  0.5000  0.5000  0.5000  4 S 2.77
Pd  0.0000  0.0000  0.0000  4 N 1.96
N  0.0000  0.5000  0.0000  2 Pd 1.96
N  0.5000  0.0000  0.0000  2 Pd 1.96